Crystalline DyYGePd at its relaxed geometry. Source: the Alexandria database, functional PBE.

Cell and atoms, written as POSCAR:
```
DyYGePd
1.0
4.3216 0.0000 0.0000
0.0000 3.9178 0.0000
0.0000 0.0000 10.8658
Dy Y Ge Pd
2 2 2 2
direct
0.0000 0.0000 0.0000
0.0000 0.5000 0.5000
0.5000 0.0000 0.7218
0.5000 0.5000 0.2218
0.5000 0.0000 0.4437
0.5000 0.5000 0.9437
0.0000 0.0000 0.2822
0.0000 0.5000 0.7822
```



Crystalline DyYGePd at its relaxed geometry. Source: the Alexandria database, functional PBE.

Cell and atoms, written as POSCAR:
```
DyYGePd
1.0
7.0960 0.0000 0.0000
0.0000 7.0960 0.0000
0.0000 0.0000 7.0960
Dy Y Ge Pd
4 4 4 4
direct
0.0000 0.0000 0.0000
0.0000 0.5000 0.5000
0.5000 0.0000 0.5000
0.5000 0.5000 0.0000
0.0000 0.0000 0.5000
0.0000 0.5000 0.0000
0.5000 0.0000 0.0000
0.5000 0.5000 0.5000
0.2500 0.2500 0.2500
0.2500 0.7500 0.7500
0.7500 0.2500 0.7500
0.7500 0.7500 0.2500
0.2500 0.2500 0.7500
0.2500 0.7500 0.2500
0.7500 0.2500 0.2500
0.7500 0.7500 0.7500
```



Crystalline Dy2ZnGe3Pd4 at its relaxed geometry. Source: the Alexandria database, functional PBE.

Cell and atoms, written as POSCAR:
```
Dy2ZnGe3Pd4
1.0
4.2208 0.0000 0.0000
0.0000 4.2208 0.0000
0.0000 0.0000 10.3945
Dy Zn Ge Pd
2 1 3 4
direct
0.0000 0.5000 0.2486
0.5000 0.0000 0.7514
0.5000 0.5000 0.0000
0.0000 0.0000 0.0000
0.0000 0.5000 0.6338
0.5000 0.0000 0.3662
0.0000 0.0000 0.5000
0.0000 0.5000 0.8655
0.5000 0.0000 0.1345
0.5000 0.5000 0.5000
```



Ordered formation enthalpy at 0 K results: -0.898; -0.815; -0.759; unit eV per atom.
Ordered ρ results: 7.771; 8.002; 9.272; unit g/cm3.